(1)
# TaCu5Pt8 | Alexandria via LeMat-Bulk | PBE | optimized geometry
# Magnetization in μB/cell: 0.00
# DOS at the Fermi energy in states/eV/cell: 14.50
# Calculated volume in A^3/atom: 15.42
# ΔH_f (0 K) in eV per atom: -0.078
data_TaCu5Pt8
_chemical_formula_sum 'Ta2 Cu10 Pt16'
_cell_length_a 7.555
_cell_length_b 7.555
_cell_length_c 7.564
_cell_angle_alpha 90.00
_cell_angle_beta 90.00
_cell_angle_gamma 90.00
_space_group_name_H-M_alt 'I -4'
_space_group_IT_number 82
loop_
_space_group_symop_operation_xyz
'x,y,z'
'y,-x,-z'
'-x,-y,z'
'-y,x,-z'
'x+1/2,y+1/2,z+1/2'
'y+1/2,-x+1/2,-z+1/2'
'-x+1/2,-y+1/2,z+1/2'
'-y+1/2,x+1/2,-z+1/2'
loop_
_atom_site_label
_atom_site_type_symbol
_atom_site_fract_x
_atom_site_fract_y
_atom_site_fract_z
Ta1 Ta 0.000 0.000 0.000
Cu1 Cu 0.000 0.500 0.750
Cu2 Cu 0.117 0.298 0.339
Pt1 Pt 0.065 0.164 0.673
Pt2 Pt 0.109 0.323 0.005


(2)
# Hf2AlBiTe | Alexandria via LeMat-Bulk | PBE | optimized geometry
# Magnetization in μB/cell: 0.92
# DOS at the Fermi energy in states/eV/cell: 7.50
# E_form (uncorrected) in eV/atom: 1.18
# Calculated volume in A^3/atom: 31.14
data_Hf2AlBiTe
_chemical_formula_sum 'Hf2 Al1 Bi1 Te1'
_cell_length_a 5.488
_cell_length_b 5.488
_cell_length_c 5.170
_cell_angle_alpha 90.00
_cell_angle_beta 90.00
_cell_angle_gamma 90.00
_space_group_name_H-M_alt 'P 4/m m m'
_space_group_IT_number 123
_space_group_name_Hall '-P 4 2'
loop_
_atom_site_label
_atom_site_type_symbol
_atom_site_fract_x
_atom_site_fract_y
_atom_site_fract_z
Hf1 Hf 0.000 0.500 0.000
Al1 Al 0.000 0.000 0.500
Bi1 Bi 0.000 0.000 0.000
Te1 Te 0.500 0.500 0.500


(3)
# PrNd2Sm8 | Alexandria via LeMat-Bulk | PBE | optimized geometry
# Magnetization in μB/cell: 0.00
# DOS at the Fermi energy in states/eV/cell: 33.61
# Calculated volume in A^3/atom: 34.25
# ΔH_f (0 K) in eV per atom: 0.014
# E above lowest polymorph in meV/atom: 0.0
data_PrNd2Sm8
_chemical_formula_sum 'Pr2 Nd4 Sm16'
_cell_length_a 18.565
_cell_length_b 5.155
_cell_length_c 8.161
_cell_angle_alpha 90.00
_cell_angle_beta 105.27
_cell_angle_gamma 90.00
_space_group_name_H-M_alt 'C 1 2/m 1'
_space_group_IT_number 12
loop_
_space_group_symop_operation_xyz
'x,y,z'
'-x,-y,-z'
'-x,y,-z'
'x,-y,z'
'x+1/2,y+1/2,z'
'-x+1/2,-y+1/2,-z'
'-x+1/2,y+1/2,-z'
'x+1/2,-y+1/2,z'
loop_
_atom_site_label
_atom_site_type_symbol
_atom_site_fract_x
_atom_site_fract_y
_atom_site_fract_z
Pr1 Pr 0.000 0.000 0.000
Nd1 Nd 0.227 0.500 0.637
Sm1 Sm 0.045 0.500 0.727
Sm2 Sm 0.091 0.000 0.456
Sm3 Sm 0.136 0.500 0.181
Sm4 Sm 0.182 0.000 0.909


(4)
# NbTl2HgIr | Alexandria via LeMat-Bulk | PBE | optimized geometry
# Magnetization in μB/cell: 2.35
# DOS at the Fermi energy in states/eV/cell: 4.55
# Calculated volume in A^3/atom: 28.16
# ΔH_f (0 K) in eV per atom: 0.589
data_NbTl2HgIr
_chemical_formula_sum 'Nb1 Tl2 Hg1 Ir1'
_cell_length_a 5.278
_cell_length_b 5.278
_cell_length_c 5.054
_cell_angle_alpha 90.00
_cell_angle_beta 90.00
_cell_angle_gamma 90.00
_space_group_name_H-M_alt 'P 4/m m m'
_space_group_IT_number 123
_space_group_name_Hall '-P 4 2'
loop_
_atom_site_label
_atom_site_type_symbol
_atom_site_fract_x
_atom_site_fract_y
_atom_site_fract_z
Nb1 Nb 0.000 0.000 0.000
Tl1 Tl 0.000 0.500 0.500
Hg1 Hg 0.500 0.500 0.000
Ir1 Ir 0.000 0.000 0.500


(5)
# La2Pm2Nd4Dy | Alexandria via LeMat-Bulk | PBE | optimized geometry
# Magnetization in μB/cell: 0.00
# DOS at the Fermi energy in states/eV/cell: 25.30
# Calculated volume in A^3/atom: 35.19
# ΔH_f (0 K) in eV per atom: 0.010
data_La2Pm2Nd4Dy
_chemical_formula_sum 'La4 Pm4 Nd8 Dy2'
_cell_length_a 19.220
_cell_length_b 3.709
_cell_length_c 9.851
_cell_angle_alpha 90.00
_cell_angle_beta 115.60
_cell_angle_gamma 90.00
_space_group_name_H-M_alt 'C 1 2/m 1'
_space_group_IT_number 12
loop_
_space_group_symop_operation_xyz
'x,y,z'
'-x,-y,-z'
'-x,y,-z'
'x,-y,z'
'x+1/2,y+1/2,z'
'-x+1/2,-y+1/2,-z'
'-x+1/2,y+1/2,-z'
'x+1/2,-y+1/2,z'
loop_
_atom_site_label
_atom_site_type_symbol
_atom_site_fract_x
_atom_site_fract_y
_atom_site_fract_z
La1 La 0.165 0.000 0.499
Pm1 Pm 0.147 0.500 0.167
Nd1 Nd 0.018 0.000 0.831
Nd2 Nd 0.185 0.500 0.833
Dy1 Dy 0.000 0.500 0.500


(6)
# Li2VRe2 | Alexandria via LeMat-Bulk | PBE | optimized geometry
# Magnetization in μB/cell: 0.01
# DOS at the Fermi energy in states/eV/cell: 6.41
# Calculated volume in A^3/atom: 14.04
# ΔH_f (0 K) in eV per atom: 0.683
# E above lowest polymorph in meV/atom: 71.3
data_Li2VRe2
_chemical_formula_sum 'Li4 V2 Re4'
_cell_length_a 7.447
_cell_length_b 7.447
_cell_length_c 2.532
_cell_angle_alpha 90.00
_cell_angle_beta 90.00
_cell_angle_gamma 90.00
_space_group_name_H-M_alt 'P 4/m b m'
_space_group_IT_number 127
_space_group_name_Hall '-P 4 2ab'
loop_
_atom_site_label
_atom_site_type_symbol
_atom_site_fract_x
_atom_site_fract_y
_atom_site_fract_z
Li1 Li 0.179 0.321 0.000
V1 V 0.000 0.000 0.500
Re1 Re 0.117 0.617 0.500


The lowest calculated volume belongs to which entry?
Li2VRe2


Among the records above, which one has the lowest calculated volume?
Li2VRe2


Which formula does entry 5 have?
La2Pm2Nd4Dy


What is the formula in the fifth record?
La2Pm2Nd4Dy